(1)
# Pm5Pr3Sm4 | the Alexandria database | PBE | optimized geometry
data_Pm5Pr3Sm4
_chemical_formula_sum 'Pm5 Pr3 Sm4'
_cell_length_a 6.0824
_cell_length_b 8.7356
_cell_length_c 9.9010
_cell_angle_alpha 106.11
_cell_angle_beta 72.11
_cell_angle_gamma 69.63
_symmetry_space_group_name_H-M 'P 1'
_symmetry_Int_Tables_number 1
loop_
_symmetry_equiv_pos_as_xyz
'x,y,z'
loop_
_atom_site_label
_atom_site_type_symbol
_atom_site_fract_x
_atom_site_fract_y
_atom_site_fract_z
Pr1 Pr 0.0000 0.5000 0.5000
Pr2 Pr 0.4815 0.3103 0.7267
Pr3 Pr 0.5185 0.6897 0.2733
Pm1 Pm 0.2162 0.4563 0.1112
Pm2 Pm 0.7838 0.5437 0.8888
Pm3 Pm 0.3763 0.0498 0.1977
Pm4 Pm 0.5000 0.5000 0.5000
Pm5 Pm 0.6237 0.9502 0.8023
Sm1 Sm 0.8598 0.2227 0.0578
Sm2 Sm 0.1402 0.7773 0.9422
Sm3 Sm 0.1659 0.0451 0.6231
Sm4 Sm 0.8341 0.9549 0.3769
# - DFT total energy (eV/atom) = -4.54
# - polymorph energy (0 for the lowest one) (meV/atom) = 192
# - DOS at the Fermi energy (states/eV/atom) = 1.663
# - space group = No. 12
# - calculated density (g/cm3) = 6.9

(2)
# PmPr6Sm3 | the Alexandria database | PBE | optimized geometry
data_PmPr6Sm3
_chemical_formula_sum 'Pm2 Pr12 Sm6'
_cell_length_a 6.5228
_cell_length_b 11.2315
_cell_length_c 11.2315
_cell_angle_alpha 120.68
_cell_angle_beta 90.00
_cell_angle_gamma 90.00
_symmetry_space_group_name_H-M 'P 1'
_symmetry_Int_Tables_number 1
loop_
_symmetry_equiv_pos_as_xyz
'x,y,z'
loop_
_atom_site_label
_atom_site_type_symbol
_atom_site_fract_x
_atom_site_fract_y
_atom_site_fract_z
Sm1 Sm 0.4608 0.9425 0.7070
Sm2 Sm 0.0901 0.3825 0.6175
Sm3 Sm 0.4608 0.2930 0.0575
Sm4 Sm 0.5901 0.6175 0.3825
Sm5 Sm 0.9608 0.7070 0.9425
Sm6 Sm 0.9608 0.0575 0.2930
Pr1 Pr 0.5554 0.6299 0.7092
Pr2 Pr 0.8742 0.9425 0.5268
Pr3 Pr 0.3742 0.5268 0.9425
Pr4 Pr 0.0554 0.7092 0.6299
Pr5 Pr 0.8579 0.0340 0.9660
Pr6 Pr 0.5554 0.2908 0.3701
Pr7 Pr 0.8742 0.4732 0.0575
Pr8 Pr 0.1494 0.7190 0.2810
Pr9 Pr 0.6494 0.2810 0.7190
Pr10 Pr 0.3742 0.0575 0.4732
Pr11 Pr 0.3579 0.9660 0.0340
Pr12 Pr 0.0554 0.3701 0.2908
Pm1 Pm 0.1072 0.1906 0.8094
Pm2 Pm 0.6072 0.8094 0.1906
# - DFT total energy (eV/atom) = -4.63
# - polymorph energy (0 for the lowest one) (meV/atom) = 0
# - DOS at the Fermi energy (states/eV/atom) = 1.352
# - space group = No. 36
# - calculated density (g/cm3) = 6.8

(3)
# Pm3PrSm7 | the Alexandria database | PBE | optimized geometry
data_Pm3PrSm7
_chemical_formula_sum 'Pm3 Pr1 Sm7'
_cell_length_a 6.4825
_cell_length_b 7.8124
_cell_length_c 7.8124
_cell_angle_alpha 81.38
_cell_angle_beta 85.85
_cell_angle_gamma 85.85
_symmetry_space_group_name_H-M 'P 1'
_symmetry_Int_Tables_number 1
loop_
_symmetry_equiv_pos_as_xyz
'x,y,z'
loop_
_atom_site_label
_atom_site_type_symbol
_atom_site_fract_x
_atom_site_fract_y
_atom_site_fract_z
Sm1 Sm 0.7394 0.9206 0.5738
Sm2 Sm 0.0000 0.5000 0.5000
Sm3 Sm 0.2606 0.0794 0.4262
Sm4 Sm 0.2104 0.7630 0.7630
Sm5 Sm 0.2606 0.4262 0.0794
Sm6 Sm 0.7394 0.5738 0.9206
Sm7 Sm 0.7896 0.2370 0.2370
Pm1 Pm 0.0000 0.8274 0.1726
Pm2 Pm 0.0000 0.1726 0.8274
Pm3 Pm 0.5000 0.0000 0.0000
Pr1 Pr 0.5000 0.5000 0.5000
# - DFT total energy (eV/atom) = -4.52
# - polymorph energy (0 for the lowest one) (meV/atom) = 0
# - DOS at the Fermi energy (states/eV/atom) = 1.361
# - space group = No. 12
# - calculated density (g/cm3) = 6.9

Which of these has the highest DFT total energy?
Pm3PrSm7